Below is crystalline Ca2CrHg2 at its relaxed geometry, with properties calculated at the PBE-GGA level.

a = 4.2080 Å, b = 4.2080 Å, c = 17.0391 Å
α = 90.00°, β = 90.00°, γ = 90.00°
Last column: nearest neighbours and their distance in Å.
Space group I4/mmm (No. 139)
Asymmetric unit:
Ca 0.0000 0.0000 0.1041 (multiplicity 4)  4 Hg 3.26, 4 Cr 3.46, 1 Ca 3.55
Cr 0.0000 0.0000 0.5000 (multiplicity 2)  8 Ca 3.46
Hg 0.0000 0.5000 0.2500 (multiplicity 4)  4 Hg 2.98, 4 Ca 3.26

Calculated values
* offset from the most stable computed form: 1.73 kcal/mol of atoms
* ΔH_f (0 K): 0.190 eV/atom